Below is an optimized crystal structure of LaMg4Cu, with properties calculated at the PBE level.

- total magnetization (μB per cell) = 0.00
- E_form (meV/atom) = -134
- symmetry = Pmma (51)

Lattice parameters (Å, degrees): 4.3619 7.5423 8.5980 90.00 90.00 90.00
Element x y z (fractional)
1 Mg 0.5000 0.2996 0.5629
2 Mg 0.5000 0.7004 0.0629
3 Mg 0.0000 0.0000 0.5000
4 Mg 0.5000 0.2996 0.9371
5 Mg 0.5000 0.0499 0.2500
6 Mg 0.5000 0.9501 0.7500
7 Mg 0.5000 0.7004 0.4371
8 Mg 0.0000 0.0000 0.0000
9 Cu 0.0000 0.8007 0.2500
10 Cu 0.0000 0.1993 0.7500
11 La 0.0000 0.5984 0.7500
12 La 0.0000 0.4016 0.2500

Below is an optimized crystal structure of TiAl2Mo2, with properties calculated at the PBE level.

- total magnetization (μB per cell) = 0.00
- E_form (meV/atom) = -240
- symmetry = P4/mbm (127)

Lattice parameters (Å, degrees): 6.7822 6.7822 3.3986 90.00 90.00 90.00
Element x y z (fractional)
1 Ti 0.5000 0.5000 0.0000
2 Ti 0.0000 0.0000 0.0000
3 Al 0.6283 0.1283 0.0000
4 Al 0.3717 0.8717 0.0000
5 Al 0.8717 0.6283 0.0000
6 Al 0.1283 0.3717 0.0000
7 Mo 0.3274 0.1726 0.5000
8 Mo 0.8274 0.3274 0.5000
9 Mo 0.6726 0.8274 0.5000
10 Mo 0.1726 0.6726 0.5000

Below is an optimized crystal structure of Sr3TaPd, with properties calculated at the PBE level.

- total magnetization (μB per cell) = 1.61
- E_form (meV/atom) = 1201
- symmetry = Pm-3m (221)

Lattice parameters (Å, degrees): 5.8245 5.8245 5.8245 90.00 90.00 90.00
Each line ends with the local moment (μB).
Element x y z (fractional)
1 Sr 0.5000 0.0000 0.0000  0.05
2 Sr 0.0000 0.5000 0.0000  0.07
3 Sr 0.0000 0.0000 0.5000  0.08
4 Ta 0.0000 0.0000 0.0000  0.81
5 Pd 0.5000 0.5000 0.5000  0.09

Below is an optimized crystal structure of Pm2Cd4In, with properties calculated at the PBE level.

- total magnetization (μB per cell) = 0.00
- E_form (meV/atom) = -258
- symmetry = I4/mmm (139)

Lattice parameters (Å, degrees): 4.3473 4.3473 10.1339 102.39 102.39 90.00
Element x y z (fractional)
1 In 0.0000 0.0000 0.0000
2 Pm 0.5942 0.5942 0.1885
3 Pm 0.4058 0.4058 0.8115
4 Cd 0.8503 0.8503 0.7006
5 Cd 0.7500 0.2500 0.5000
6 Cd 0.1497 0.1497 0.2994
7 Cd 0.2500 0.7500 0.5000

Below is an optimized crystal structure of La2ZnGa6Cu, with properties calculated at the PBE level.

- total magnetization (μB per cell) = 0.00
- E_form (meV/atom) = -361
- symmetry = R-3m (166)

Lattice parameters (Å, degrees): 6.3723 6.3723 12.3831 75.09 75.09 60.00
Element x y z (fractional)
1 Ga 0.6679 0.6679 0.5928
2 Ga 0.7747 0.3489 0.1017
3 Ga 0.3321 0.9286 0.4072
4 Ga 0.2253 0.2253 0.8983
5 Ga 0.2253 0.6511 0.8983
6 Ga 0.3321 0.3321 0.4072
7 Ga 0.0714 0.6679 0.5928
8 Ga 0.9286 0.3321 0.4072
9 Ga 0.6679 0.0714 0.5928
10 Ga 0.6511 0.2253 0.8983
11 Ga 0.3489 0.7747 0.1017
12 Ga 0.7747 0.7747 0.1017
13 La 0.2822 0.2822 0.1535
14 La 0.1074 0.1074 0.6778
15 La 0.7178 0.7178 0.8465
16 La 0.8926 0.8926 0.3222
17 Cu 0.5000 0.5000 0.5000
18 Cu 0.0000 0.0000 0.0000
19 Zn 0.5728 0.5728 0.2817
20 Zn 0.4272 0.4272 0.7183

Below is an optimized crystal structure of RbSi2AgOs, with properties calculated at the PBE level.

- total magnetization (μB per cell) = 1.06
- formation energy from raw total energies (meV/atom) = 2943
- symmetry = P4/mmm (123)

Lattice parameters (Å, degrees): 5.3402 4.9290 5.3402 90.00 90.00 90.00
Each line ends with the local moment (μB).
Element x y z (fractional)
1 Si 0.0000 0.0000 0.5000  -0.03
2 Si 0.5000 0.0000 0.0000  -0.04
3 Os 0.0000 0.5000 0.0000  1.12
4 Ag 0.5000 0.5000 0.5000  0.00
5 Rb 0.0000 0.0000 0.0000  0.01

Below is an optimized crystal structure of Th2InSi2Ru5, with properties calculated at the PBE level.

- total magnetization (μB per cell) = 0.00
- formation energy from raw total energies (meV/atom) = -617
- symmetry = P4/mbm (127)

Lattice parameters (Å, degrees): 3.4160 10.1750 10.1750 90.00 90.00 90.00
Element x y z (fractional)
1 Ru 0.5000 0.4311 0.2810
2 Ru 0.5000 0.7810 0.9311
3 Ru 0.5000 0.0000 0.5000
4 Ru 0.5000 0.0689 0.7810
5 Ru 0.5000 0.5000 0.0000
6 Ru 0.5000 0.2190 0.0689
7 Ru 0.5000 0.9311 0.2190
8 Ru 0.5000 0.7190 0.4311
9 Ru 0.5000 0.2810 0.5689
10 Ru 0.5000 0.5689 0.7190
11 Si 0.0000 0.1210 0.6210
12 Si 0.0000 0.3790 0.1210
13 Si 0.0000 0.8790 0.3790
14 Si 0.0000 0.6210 0.8790
15 Th 0.0000 0.6768 0.1768
16 Th 0.0000 0.1768 0.3232
17 Th 0.0000 0.3232 0.8232
18 Th 0.0000 0.8232 0.6768
19 In 0.0000 0.0000 0.0000
20 In 0.0000 0.5000 0.5000

Below is an optimized crystal structure of Tb2MgIr, with properties calculated at the PBE level.

- total magnetization (μB per cell) = 0.00
- E_form (meV/atom) = -509
- symmetry = Cmcm (63)

Lattice parameters (Å, degrees): 4.0343 7.4618 7.3167 90.00 90.00 105.68
Element x y z (fractional)
1 Mg 0.9922 0.9844 0.7500
2 Mg 0.0078 0.0156 0.2500
3 Tb 0.3546 0.7093 0.9952
4 Tb 0.6454 0.2907 0.4952
5 Tb 0.3546 0.7093 0.5048
6 Tb 0.6454 0.2907 0.0048
7 Ir 0.1998 0.3997 0.2500
8 Ir 0.8002 0.6003 0.7500